[1]
# Tm5Ag2Sn (PBE, relaxed)
# formation enthalpy at 0 K	-0.36	eV per atom
# raw total energy	-4.371	eV/atom
# crystal system	tetragonal
data_Tm5Ag2Sn
_space_group_name_H-M_alt 'P 1'
_space_group_IT_number 1
_cell_length_a 7.893
_cell_length_b 7.893
_cell_length_c 8.687
_cell_angle_alpha 117.02
_cell_angle_beta 117.02
_cell_angle_gamma 90.00
loop_
_space_group_symop_operation_xyz
'x,y,z'
loop_
_atom_site_label
_atom_site_fract_x
_atom_site_fract_y
_atom_site_fract_z
Tm1 0.506 0.695 0.700
Tm2 0.805 0.994 0.300
Tm3 0.000 0.000 0.000
Tm4 0.500 0.500 0.000
Tm5 0.195 0.006 0.700
Tm6 0.695 0.195 0.700
Tm7 0.006 0.506 0.700
Tm8 0.305 0.805 0.300
Tm9 0.994 0.494 0.300
Tm10 0.494 0.305 0.300
Ag1 0.134 0.366 0.000
Ag2 0.634 0.134 0.000
Ag3 0.366 0.866 0.000
Ag4 0.866 0.634 0.000
Sn1 0.750 0.750 0.500
Sn2 0.250 0.250 0.500

[2]
# Tm8Ag2Sn (PBE, relaxed)
# formation enthalpy at 0 K	-0.12	eV per atom
# raw total energy	-4.257	eV/atom
# crystal system	monoclinic
data_Tm8Ag2Sn
_space_group_name_H-M_alt 'P 1'
_space_group_IT_number 1
_cell_length_a 5.363
_cell_length_b 8.204
_cell_length_c 8.204
_cell_angle_alpha 116.11
_cell_angle_beta 99.79
_cell_angle_gamma 99.79
loop_
_space_group_symop_operation_xyz
'x,y,z'
loop_
_atom_site_label
_atom_site_fract_x
_atom_site_fract_y
_atom_site_fract_z
Tm1 0.897 0.910 0.673
Tm2 0.897 0.673 0.910
Tm3 0.304 0.605 0.605
Tm4 0.500 0.769 0.231
Tm5 0.500 0.231 0.769
Tm6 0.696 0.395 0.395
Tm7 0.103 0.327 0.090
Tm8 0.103 0.090 0.327
Ag1 0.000 0.305 0.695
Ag2 0.000 0.695 0.305
Sn1 0.500 0.000 0.000

[3]
# Tm5AgSn (PBE, relaxed)
# formation enthalpy at 0 K	-0.14	eV per atom
# raw total energy	-4.315	eV/atom
# crystal system	monoclinic
data_Tm5AgSn
_space_group_name_H-M_alt 'P 1'
_space_group_IT_number 1
_cell_length_a 6.292
_cell_length_b 6.292
_cell_length_c 10.090
_cell_angle_alpha 89.68
_cell_angle_beta 89.68
_cell_angle_gamma 89.93
loop_
_space_group_symop_operation_xyz
'x,y,z'
loop_
_atom_site_label
_atom_site_fract_x
_atom_site_fract_y
_atom_site_fract_z
Tm1 0.044 0.613 0.169
Tm2 0.237 0.415 0.500
Tm3 0.613 0.044 0.669
Tm4 0.859 0.141 0.250
Tm5 0.585 0.763 0.000
Tm6 0.415 0.237 0.000
Tm7 0.141 0.859 0.750
Tm8 0.387 0.956 0.331
Tm9 0.763 0.585 0.500
Tm10 0.956 0.387 0.831
Ag1 0.000 0.000 0.000
Ag2 0.000 0.000 0.500
Sn1 0.513 0.487 0.250
Sn2 0.487 0.513 0.750

[4]
# Tm3Ag2Sn (PBE, relaxed)
# formation enthalpy at 0 K	-0.41	eV per atom
# raw total energy	-4.266	eV/atom
# crystal system	tetragonal
data_Tm3Ag2Sn
_space_group_name_H-M_alt 'P 1'
_space_group_IT_number 1
_cell_length_a 3.492
_cell_length_b 3.492
_cell_length_c 11.777
_cell_angle_alpha 90.00
_cell_angle_beta 90.00
_cell_angle_gamma 90.00
loop_
_space_group_symop_operation_xyz
'x,y,z'
loop_
_atom_site_label
_atom_site_fract_x
_atom_site_fract_y
_atom_site_fract_z
Tm1 0.000 0.000 0.000
Tm2 0.000 0.000 0.682
Tm3 0.000 0.000 0.318
Ag1 0.500 0.500 0.845
Ag2 0.500 0.500 0.155
Sn1 0.500 0.500 0.500

[5]
# Tm4AgSn (PBE, relaxed)
# formation enthalpy at 0 K	-0.17	eV per atom
# raw total energy	-4.298	eV/atom
# crystal system	orthorhombic
data_Tm4AgSn
_space_group_name_H-M_alt 'P 1'
_space_group_IT_number 1
_cell_length_a 5.305
_cell_length_b 6.374
_cell_length_c 10.727
_cell_angle_alpha 90.00
_cell_angle_beta 104.32
_cell_angle_gamma 90.00
loop_
_space_group_symop_operation_xyz
'x,y,z'
loop_
_atom_site_label
_atom_site_fract_x
_atom_site_fract_y
_atom_site_fract_z
Tm1 0.875 0.322 0.750
Tm2 0.125 0.822 0.250
Tm3 0.442 0.823 0.884
Tm4 0.558 0.323 0.116
Tm5 0.704 0.568 0.407
Tm6 0.296 0.068 0.593
Tm7 0.703 0.077 0.407
Tm8 0.297 0.577 0.593
Ag1 0.578 0.822 0.157
Ag2 0.422 0.322 0.843
Sn1 0.845 0.822 0.690
Sn2 0.155 0.322 0.310

[6]
# Tm3AgSn (PBE, relaxed)
# formation enthalpy at 0 K	-0.31	eV per atom
# raw total energy	-4.366	eV/atom
# crystal system	orthorhombic
data_Tm3AgSn
_space_group_name_H-M_alt 'P 1'
_space_group_IT_number 1
_cell_length_a 4.546
_cell_length_b 6.726
_cell_length_c 9.047
_cell_angle_alpha 90.00
_cell_angle_beta 90.00
_cell_angle_gamma 90.00
loop_
_space_group_symop_operation_xyz
'x,y,z'
loop_
_atom_site_label
_atom_site_fract_x
_atom_site_fract_y
_atom_site_fract_z
Tm1 0.750 0.750 0.074
Tm2 0.250 0.250 0.926
Tm3 0.750 0.995 0.687
Tm4 0.750 0.505 0.687
Tm5 0.250 0.005 0.313
Tm6 0.250 0.495 0.313
Ag1 0.750 0.750 0.411
Ag2 0.250 0.250 0.589
Sn1 0.750 0.250 0.143
Sn2 0.250 0.750 0.857

[7]
# Tm3AgSn3 (PBE, relaxed)
# formation enthalpy at 0 K	-0.33	eV per atom
# raw total energy	-4.371	eV/atom
# crystal system	hexagonal
data_Tm3AgSn3
_space_group_name_H-M_alt 'P 1'
_space_group_IT_number 1
_cell_length_a 5.636
_cell_length_b 8.544
_cell_length_c 8.544
_cell_angle_alpha 120.00
_cell_angle_beta 90.00
_cell_angle_gamma 90.00
loop_
_space_group_symop_operation_xyz
'x,y,z'
loop_
_atom_site_label
_atom_site_fract_x
_atom_site_fract_y
_atom_site_fract_z
Tm1 0.750 0.638 0.550
Tm2 0.750 0.450 0.088
Tm3 0.750 0.912 0.362
Tm4 0.250 0.362 0.450
Tm5 0.250 0.550 0.912
Tm6 0.250 0.088 0.638
Ag1 0.250 0.667 0.333
Ag2 0.750 0.333 0.667
Sn1 0.250 0.796 0.741
Sn2 0.250 0.259 0.056
Sn3 0.250 0.944 0.204
Sn4 0.750 0.204 0.259
Sn5 0.750 0.741 0.944
Sn6 0.750 0.056 0.796

[8]
# Tm4AgSn2 (PBE, relaxed)
# formation enthalpy at 0 K	-0.42	eV per atom
# raw total energy	-4.527	eV/atom
# crystal system	monoclinic
data_Tm4AgSn2
_space_group_name_H-M_alt 'P 1'
_space_group_IT_number 1
_cell_length_a 4.642
_cell_length_b 8.633
_cell_length_c 7.758
_cell_angle_alpha 137.15
_cell_angle_beta 107.41
_cell_angle_gamma 90.00
loop_
_space_group_symop_operation_xyz
'x,y,z'
loop_
_atom_site_label
_atom_site_fract_x
_atom_site_fract_y
_atom_site_fract_z
Tm1 0.919 0.216 0.839
Tm2 0.081 0.784 0.161
Tm3 0.683 0.290 0.365
Tm4 0.317 0.710 0.635
Ag1 0.000 0.000 0.000
Sn1 0.649 0.633 0.298
Sn2 0.351 0.367 0.702